The following is a DFT calculation (GGA-PBE) of an optimized crystal structure of Pm3Nd4Th.

Properties
Distance to the lowest polymorph of the same formula ... 0 meV per atom
Calculated formation energy ... 28 meV per atom
Electronic total energy ... -40.52 eV per cell
M_tot ... 0.00 μB per cell

abc: 3.657 6.329 13.199
angles: 113.69 97.96 90.00
Atoms (fractional coordinates):
Pm 0.000 0.500 0.000
Pm 0.122 0.362 0.244
Pm 0.878 0.638 0.756
Nd 0.376 0.122 0.752
Nd 0.624 0.878 0.248
Nd 0.749 0.749 0.499
Nd 0.251 0.251 0.501
Th 0.500 0.000 0.000


The following is a DFT calculation (GGA-PBE) of an optimized crystal structure of MgInHg.

Properties
Calculated formation energy ... -63 meV per atom
Electronic total energy ... -9.65 eV per cell
M_tot ... 0.00 μB per cell

abc: 5.180 4.631 6.409
angles: 90.03 89.95 70.92
Atoms (fractional coordinates):
Mg 0.938 0.433 0.987
Mg 0.938 0.433 0.487
In 0.318 0.722 0.736
In 0.561 0.141 0.236
Hg 0.178 0.807 0.236
Hg 0.702 0.056 0.736


The following is a DFT calculation (GGA-PBE) of an optimized crystal structure of Sr2YAg.

Properties
Distance to the lowest polymorph of the same formula ... 153 meV per atom
Calculated formation energy ... 75 meV per atom
Electronic total energy ... -12.38 eV per cell
M_tot ... 0.00 μB per cell

abc: 7.185 7.185 5.747
angles: 66.44 66.44 31.92
Atoms (fractional coordinates):
Ag 0.250 0.250 0.250
Sr 0.948 0.948 0.052
Sr 0.552 0.552 0.448
Y 0.750 0.750 0.750


The following is a DFT calculation (GGA-PBE) of an optimized crystal structure of VAgRu3.

Properties
Distance to the lowest polymorph of the same formula ... 1228 meV per atom
Calculated formation energy ... 2369 meV per atom
Electronic total energy ... -27.95 eV per cell
M_tot ... 2.15 μB per cell

abc: 4.761 4.761 4.761
angles: 90.00 90.00 90.00
Last column: magnetic moment on the atom in μB.
Atoms (fractional coordinates):
Ru 0.000 0.500 0.000  1.71
Ru 0.000 0.000 0.500  1.71
Ru 0.500 0.000 0.000  1.71
Ag 0.000 0.000 0.000  0.14
V 0.500 0.500 0.500  -2.63


The following is a DFT calculation (GGA-PBE) of an optimized crystal structure of Sr5Pb4.

Properties
Distance to the lowest polymorph of the same formula ... 0 meV per atom
Calculated formation energy ... -529 meV per atom
Electronic total energy ... -28.01 eV per cell
M_tot ... 0.00 μB per cell

abc: 5.208 6.669 11.181
angles: 75.78 76.53 67.02
Atoms (fractional coordinates):
Sr 0.092 0.205 0.611
Sr 0.908 0.795 0.389
Sr 0.757 0.661 0.826
Sr 0.243 0.339 0.174
Sr 0.000 0.000 0.000
Pb 0.451 0.258 0.840
Pb 0.549 0.742 0.160
Pb 0.375 0.642 0.609
Pb 0.625 0.358 0.391


The following is a DFT calculation (GGA-PBE) of an optimized crystal structure of NdBi3Au8.

Properties
Calculated formation energy ... -243 meV per atom
Electronic total energy ... -45.54 eV per cell
M_tot ... 0.00 μB per cell

abc: 5.709 5.709 10.003
angles: 73.42 73.42 60.00
Atoms (fractional coordinates):
Nd 0.875 0.875 0.375
Bi 0.374 0.374 0.877
Bi 0.002 0.002 0.993
Bi 0.498 0.498 0.507
Au 0.936 0.437 0.190
Au 0.440 0.938 0.685
Au 0.437 0.437 0.190
Au 0.938 0.938 0.685
Au 0.188 0.188 0.436
Au 0.687 0.687 0.938
Au 0.437 0.936 0.190
Au 0.938 0.440 0.685


The following is a DFT calculation (GGA-PBE) of an optimized crystal structure of Re3TcMo.

Properties
Distance to the lowest polymorph of the same formula ... 1938 meV per atom
Calculated formation energy ... 2218 meV per atom
Electronic total energy ... -47.45 eV per cell
M_tot ... 0.00 μB per cell

abc: 4.596 4.596 4.596
angles: 90.00 90.00 90.00
Atoms (fractional coordinates):
Re 0.000 0.500 0.000
Re 0.000 0.000 0.500
Re 0.500 0.000 0.000
Mo 0.500 0.500 0.500
Tc 0.000 0.000 0.000


The following is a DFT calculation (GGA-PBE) of an optimized crystal structure of Ba2AsRhI.

Properties
Electronic total energy ... -22.23 eV per cell
M_tot ... 0.00 μB per cell
Uncorrected formation energy ... -0.967 eV per atom

abc: 6.221 6.221 4.660
angles: 90.00 90.00 90.00
Atoms (fractional coordinates):
I 0.500 0.500 0.500
As 0.000 0.000 0.500
Rh 0.000 0.000 0.000
Ba 0.000 0.500 0.000
Ba 0.500 0.000 0.000